A plane-wave DFT calculation with GGA+U was carried out for a geometry-optimized VNiPb2O6 structure.

Values from the calculation:
* density of states at the Fermi level: 7.52 states/eV per cell
* DFT total energy: -5.997 eV per atom
* space-group type: P2_1/c, No. 14

Cell and atoms, written as CIF:
```
data_VNiPb2O6
_chemical_formula_sum 'V2 Ni2 Pb4 O12'
_cell_length_a 5.539
_cell_length_b 5.598
_cell_length_c 9.610
_cell_angle_alpha 90.00
_cell_angle_beta 125.17
_cell_angle_gamma 90.00
_space_group_name_H-M_alt 'P 1'
_space_group_IT_number 1
loop_
_space_group_symop_operation_xyz
'x,y,z'
loop_
_atom_site_label
_atom_site_type_symbol
_atom_site_fract_x
_atom_site_fract_y
_atom_site_fract_z
V1 V 0.000 0.000 0.000
V2 V 0.000 0.500 0.500
Ni1 Ni 0.500 0.000 0.500
Ni2 Ni 0.500 0.500 0.000
Pb1 Pb 0.244 0.036 0.750
Pb2 Pb 0.244 0.464 0.250
Pb3 Pb 0.756 0.536 0.750
Pb4 Pb 0.756 0.964 0.250
O1 O 0.159 0.224 0.461
O2 O 0.159 0.276 0.961
O3 O 0.239 0.701 0.463
O4 O 0.239 0.799 0.963
O5 O 0.312 0.019 0.238
O6 O 0.312 0.481 0.738
O7 O 0.688 0.519 0.262
O8 O 0.688 0.981 0.762
O9 O 0.761 0.201 0.037
O10 O 0.761 0.299 0.537
O11 O 0.841 0.724 0.039
O12 O 0.841 0.776 0.539
```